Entry 1:
Entry from Alexandria via LeMat-Bulk: a relaxed structure of KCaMo2 (GGA-PBEsol).

Summary:
ΔE_f ... 30.1 kcal/mol of atoms

Cell and atoms, written as POSCAR:
```
KCaMo2
1.0
-0.571 1.724 -3.329
1.532 -2.966 -1.799
-5.476 -1.738 2.200
Mo Ca K
2 1 1
Cartesian
-1.732 -2.663 -1.082
-2.784 -0.318 -1.847
0.480 -0.621 -2.564
0.000 0.000 0.000
```



Entry 2:
Entry from Alexandria via LeMat-Bulk: a relaxed structure of K2CaSnMo (GGA-PBEsol).

Summary:
ΔE_f ... 21.7 kcal/mol of atoms

Cell and atoms, written as POSCAR:
```
K2CaSnMo
1.0
-4.979 -1.097 1.412
-1.704 -0.247 -6.202
1.351 -6.292 -0.121
Sn Mo K Ca
1 1 2 1
Cartesian
0.000 0.000 0.000
-2.490 -0.548 0.706
-0.852 -0.124 -3.101
0.676 -3.146 -0.060
-2.666 -3.818 -2.456
```



Entry 3:
Entry from Alexandria via LeMat-Bulk: a relaxed structure of KCaN2O (GGA-PBEsol).

Summary:
Raw formation energy ... 6.38 eV per formula unit

Cell and atoms, written as POSCAR:
```
KCaN2O
1.0
4.514 0.000 0.000
0.000 4.654 0.000
0.000 0.000 4.654
K Ca N O
1 1 2 1
Cartesian
0.000 0.000 0.000
2.257 2.327 2.327
0.000 2.327 0.000
0.000 0.000 2.327
2.257 0.000 0.000
```



Entry 4:
Entry from Alexandria via LeMat-Bulk: a relaxed structure of KNaCa2 (GGA-PBEsol).

Summary:
ΔE_f ... 6.2 kcal/mol of atoms

Cell and atoms, written as POSCAR:
```
KNaCa2
1.0
-0.248 -1.537 -4.944
-3.888 -3.213 1.194
-7.106 12.481 -0.807
Ca K Na
4 2 2
Cartesian
-5.273 -0.278 -1.045
-7.888 6.414 -2.957
-3.450 0.581 -4.046
-5.873 8.745 -1.065
0.000 0.000 0.000
-6.531 3.447 -0.744
-4.711 4.284 -3.813
-2.068 -2.375 -1.875
```



Entry 5:
Entry from Alexandria via LeMat-Bulk: a relaxed structure of K2NaCaP (GGA-PBEsol).

Summary:
ΔE_f ... 3.6 kcal/mol of atoms

Cell and atoms, written as POSCAR:
```
K2NaCaP
1.0
-1.000 2.949 -4.125
-6.762 -1.645 0.462
-1.049 5.487 4.177
K Na P Ca
2 1 1 1
Cartesian
-0.525 2.743 2.088
-3.381 -0.823 0.231
-4.406 3.395 0.257
-0.500 1.475 -2.063
0.000 0.000 0.000
```



Entry 6:
Entry from Alexandria via LeMat-Bulk: a relaxed structure of KNaCaPt2 (GGA-PBEsol).

Summary:
ΔE_f ... 16.5 kcal/mol of atoms

Cell and atoms, written as POSCAR:
```
KNaCaPt2
1.0
4.553 0.000 0.000
0.000 5.342 0.000
0.000 0.000 5.342
Ca Na Pt K
1 1 2 1
Cartesian
2.276 2.671 2.671
2.276 0.000 0.000
0.000 0.000 2.671
0.000 2.671 0.000
0.000 0.000 0.000
```



Entry 7:
Entry from Alexandria via LeMat-Bulk: a relaxed structure of KCa3Nb (GGA-PBEsol).

Summary:
ΔE_f ... 37.1 kcal/mol of atoms

Cell and atoms, written as POSCAR:
```
KCa3Nb
1.0
5.438 0.000 0.000
0.000 5.438 0.000
0.000 0.000 5.438
Ca K Nb
3 1 1
Cartesian
0.000 2.719 0.000
2.719 0.000 0.000
0.000 0.000 2.719
0.000 0.000 0.000
2.719 2.719 2.719
```



Entry 8:
Entry from Alexandria via LeMat-Bulk: a relaxed structure of KCa2NbOs (GGA-PBEsol).

Summary:
ΔE_f ... 51.9 kcal/mol of atoms

Cell and atoms, written as POSCAR:
```
KCa2NbOs
1.0
4.775 0.000 0.000
0.000 4.802 0.000
0.000 0.000 4.802
Ca Nb Os K
2 1 1 1
Cartesian
0.000 0.000 2.401
0.000 2.401 0.000
2.388 0.000 0.000
2.388 2.401 2.401
0.000 0.000 0.000
```



Entry 9:
Entry from Alexandria via LeMat-Bulk: a relaxed structure of KCa3Ni (GGA-PBEsol).

Summary:
ΔE_f ... 1.1 kcal/mol of atoms

Cell and atoms, written as POSCAR:
```
KCa3Ni
1.0
5.613 0.000 0.000
0.000 5.613 0.000
0.000 0.000 5.613
Ca Ni K
3 1 1
Cartesian
0.000 2.807 0.000
0.000 0.000 2.807
2.807 0.000 0.000
0.000 0.000 0.000
2.807 2.807 2.807
```



Entry 10:
Entry from Alexandria via LeMat-Bulk: a relaxed structure of K2CaNi (GGA-PBEsol).

Summary:
ΔE_f ... 13.9 kcal/mol of atoms

Cell and atoms, written as POSCAR:
```
K2CaNi
1.0
-1.604 2.113 -3.813
1.418 -3.589 -2.586
-5.239 -2.614 0.755
K Ca Ni
2 1 1
Cartesian
-0.802 1.057 -1.907
0.709 -1.795 -1.293
-2.619 -1.307 0.378
-2.712 -2.045 -2.822
```



Entry 11:
Entry from Alexandria via LeMat-Bulk: a relaxed structure of KCaNi3 (GGA-PBEsol).

Summary:
ΔE_f ... 31.8 kcal/mol of atoms

Cell and atoms, written as POSCAR:
```
KCaNi3
1.0
-2.522 2.503 -3.261
-2.099 -4.073 -1.504
-3.535 0.632 3.219
Ni K Ca
3 1 1
Cartesian
-1.049 -2.037 -0.752
-1.261 1.252 -1.630
-1.767 0.316 1.610
-4.078 -0.469 -0.773
0.000 0.000 0.000
```



Entry 12:
Entry from Alexandria via LeMat-Bulk: a relaxed structure of K2CaYNi (GGA-PBEsol).

Summary:
ΔE_f ... 37.0 kcal/mol of atoms

Cell and atoms, written as POSCAR:
```
K2CaYNi
1.0
-3.535 2.326 4.468
3.444 -3.190 4.385
3.973 5.019 0.531
Ca K Y Ni
1 2 1 1
Cartesian
0.000 0.000 0.000
1.722 -1.595 2.192
1.987 2.510 0.265
-1.768 1.163 2.234
1.941 2.078 4.692
```



Entry 13:
Entry from Alexandria via LeMat-Bulk: a relaxed structure of KCaZnNi2 (GGA-PBEsol).

Summary:
ΔE_f ... 30.1 kcal/mol of atoms

Cell and atoms, written as POSCAR:
```
KCaZnNi2
1.0
4.758 0.000 0.000
0.000 4.758 0.000
0.000 0.000 5.761
Ni Zn K Ca
2 1 1 1
Cartesian
0.000 2.379 0.000
2.379 0.000 0.000
2.379 2.379 2.880
0.000 0.000 2.880
0.000 0.000 0.000
```



Entry 14:
Entry from Alexandria via LeMat-Bulk: a relaxed structure of KCa2O (GGA-PBEsol).

Summary:
Raw formation energy ... -5.20 eV per formula unit

Cell and atoms, written as POSCAR:
```
KCa2O
1.0
7.345 0.000 0.000
3.672 6.361 0.000
3.672 2.120 5.997
Ca K O
4 2 2
Cartesian
1.836 1.060 0.750
5.508 1.060 0.750
3.672 2.120 3.748
3.672 4.240 0.750
7.345 4.240 2.998
11.017 6.361 4.498
3.672 2.120 1.499
0.000 0.000 0.000
```



Entry 15:
Entry from Alexandria via LeMat-Bulk: a relaxed structure of KCaPb2O (GGA-PBEsol).

Summary:
Raw formation energy ... -2.46 eV per formula unit

Cell and atoms, written as POSCAR:
```
KCaPb2O
1.0
5.055 0.000 0.000
0.000 5.047 0.000
0.000 0.000 5.047
Pb K O Ca
2 1 1 1
Cartesian
0.000 0.000 2.524
0.000 2.524 0.000
2.528 0.000 0.000
0.000 0.000 0.000
2.528 2.524 2.524
```



Entry 16:
Entry from Alexandria via LeMat-Bulk: a relaxed structure of K2Ca2S3O12 (GGA-PBEsol).

Summary:
Raw formation energy ... -40.36 eV per formula unit

Cell and atoms, written as POSCAR:
```
K2Ca2S3O12
1.0
10.471 0.000 0.000
0.000 10.471 0.000
0.000 0.000 10.471
S Ca O K
12 8 48 8
Cartesian
0.078 2.405 3.920
9.156 5.158 8.066
8.066 9.156 5.158
6.550 5.313 2.831
5.313 2.831 6.550
2.405 3.920 0.078
7.640 1.315 10.393
1.315 10.393 7.640
5.158 8.066 9.156
10.393 7.640 1.315
3.920 0.078 2.405
2.831 6.550 5.313
4.321 0.915 9.556
1.804 7.040 8.667
7.040 8.667 1.804
3.431 3.431 3.431
9.556 4.321 0.915
8.667 1.804 7.040
6.150 6.150 6.150
0.915 9.556 4.321
1.402 2.816 4.453
5.632 7.061 8.177
2.942 10.074 3.410
0.396 8.645 2.293
1.069 3.275 0.184
4.321 2.892 5.455
0.914 7.579 0.220
2.419 6.017 6.637
8.510 5.051 9.401
8.052 0.782 9.069
2.816 4.453 1.402
9.689 3.834 7.654
3.275 0.184 1.069
0.782 9.069 8.052
6.637 2.419 6.017
3.834 7.654 9.689
2.892 5.455 4.321
10.286 6.305 1.960
4.453 1.402 2.816
7.654 9.689 3.834
6.305 1.960 10.286
9.069 8.052 0.782
9.556 2.343 5.015
8.645 2.293 0.396
7.529 4.839 1.826
10.251 6.150 8.127
2.343 5.015 9.556
0.220 0.914 7.579
9.401 8.510 5.051
10.074 3.410 2.942
1.960 10.286 6.305
7.061 8.177 5.632
0.184 1.069 3.275
4.166 7.196 5.420
6.150 8.127 10.251
7.579 0.220 0.914
2.293 0.396 8.645
3.410 2.942 10.074
5.455 4.321 2.892
5.051 9.401 8.510
7.196 5.420 4.166
8.177 5.632 7.061
5.015 9.556 2.343
4.839 1.826 7.529
1.826 7.529 4.839
6.017 6.637 2.419
5.420 4.166 7.196
8.127 10.251 6.150
0.568 0.568 0.568
5.803 4.668 9.903
1.959 3.276 7.194
8.512 8.512 8.512
9.903 5.803 4.668
4.668 9.903 5.803
7.194 1.959 3.276
3.276 7.194 1.959
```



Entry 17:
Entry from Alexandria via LeMat-Bulk: a relaxed structure of K2Ca5S6O25 (GGA-PBEsol).

Summary:
Raw formation energy ... -78.02 eV per formula unit

Cell and atoms, written as POSCAR:
```
K2Ca5S6O25
1.0
6.868 0.000 0.000
3.434 8.698 0.021
3.434 1.630 16.681
S Ca O K
12 10 50 4
Cartesian
4.117 0.485 1.967
6.184 5.649 10.318
10.896 4.568 15.259
6.083 3.895 2.610
7.652 6.433 14.092
4.029 2.226 9.773
9.706 8.102 6.929
9.618 9.843 14.734
2.649 1.269 5.741
2.839 5.760 1.443
7.551 4.679 6.383
11.086 9.059 10.960
6.291 7.871 8.051
7.444 2.457 8.650
6.291 5.991 0.320
6.018 3.397 12.516
2.596 3.464 3.448
6.030 1.700 4.903
7.717 6.931 4.186
11.139 6.864 13.253
7.705 8.628 11.798
7.444 4.337 16.381
8.392 3.397 12.516
7.087 6.831 10.410
12.196 8.813 11.912
7.142 5.046 13.975
5.343 6.931 4.186
9.355 5.868 2.894
5.220 5.609 11.458
8.286 4.560 7.658
6.740 5.922 6.306
10.977 7.397 7.178
8.052 6.629 15.497
3.728 2.242 5.373
2.250 1.465 7.147
8.654 9.883 13.594
2.758 2.931 9.523
4.973 3.649 3.561
6.995 4.406 10.395
8.515 4.719 5.243
8.762 6.679 13.140
6.574 7.406 13.724
5.087 3.995 16.112
11.485 8.863 9.554
7.345 9.452 9.553
7.162 2.922 2.977
6.740 7.940 2.065
5.449 5.768 9.043
10.521 8.661 14.642
5.087 2.799 8.919
5.081 0.445 3.107
1.539 1.515 4.789
2.956 4.288 1.203
10.007 8.086 11.328
4.381 2.334 11.224
7.142 1.748 11.056
6.995 2.388 14.636
4.110 6.465 1.193
9.625 3.863 15.508
4.853 0.604 0.693
8.882 9.723 16.008
6.593 5.282 2.726
8.649 6.333 0.589
4.381 4.459 13.807
10.779 6.040 15.499
6.648 3.497 6.291
3.214 1.667 2.059
9.355 7.994 5.477
8.649 7.529 7.782
6.593 8.580 5.645
6.390 0.876 7.148
5.683 3.699 1.204
12.980 9.762 15.225
0.755 0.566 1.476
4.189 4.598 6.874
9.546 5.730 9.827
```



Entry 18:
Entry from Alexandria via LeMat-Bulk: a relaxed structure of K4CaU3O12 (GGA-PBEsol).

Summary:
Raw formation energy ... -56.98 eV per formula unit

Cell and atoms, written as POSCAR:
```
K4CaU3O12
1.0
7.420 0.000 0.000
-2.473 6.995 0.000
-2.473 -3.498 6.058
K Ca U O
4 1 3 12
Cartesian
-1.237 3.498 0.000
1.237 1.749 3.029
-1.237 -1.749 3.029
3.710 0.000 0.000
0.000 0.000 0.000
2.473 3.498 0.000
-2.473 1.749 3.029
2.473 -1.749 3.029
1.346 1.903 0.000
-1.346 0.952 1.648
-1.237 0.874 4.544
-1.237 3.498 3.029
3.601 5.092 0.000
3.710 2.623 1.515
3.710 0.000 3.029
1.346 -0.952 1.648
1.237 -0.874 4.544
1.237 4.372 1.515
-3.601 2.546 4.410
3.601 -2.546 4.410
```



Entry 19:
Entry from Alexandria via LeMat-Bulk: a relaxed structure of K4CaW3O12 (GGA-PBEsol).

Summary:
Raw formation energy ... -44.64 eV per formula unit

Cell and atoms, written as POSCAR:
```
K4CaW3O12
1.0
-3.454 -3.215 -5.154
6.825 -1.398 -0.544
-2.362 -2.286 6.167
O W K Ca
12 3 4 1
Cartesian
-4.225 -3.996 0.735
2.449 -3.351 -4.140
-1.591 -1.505 0.277
0.232 -3.681 -2.596
1.221 -1.008 1.538
2.801 -3.227 -1.444
0.922 -1.262 -1.559
-2.065 -3.904 -0.918
3.243 -2.677 4.085
0.778 -3.217 3.064
-1.792 -3.672 1.912
3.075 -2.995 1.387
1.685 -2.306 -2.849
-2.908 -2.751 0.506
2.232 -1.842 2.811
0.505 -3.449 0.234
-1.727 -1.607 -2.577
-1.181 -1.143 3.083
3.413 -0.699 -0.272
0.000 0.000 0.000
```